1.
PBE Al4CuAu5, optimized geometry; E_form = -0.28 eV/atom; density = 11.16 g cm⁻³; SG = No. 71; uncorrected energy = -3.82 eV per atom
1.0
3.952 0.000 1.090
1.662 6.486 1.683
0.229 0.551 6.878
Al Au Cu
4 5 1
Direct
0.250 0.307 0.693 Al
0.497 0.753 0.753 Al
0.250 0.693 0.307 Al
0.003 0.247 0.247 Al
0.595 0.338 0.971 Au
0.750 0.500 0.500 Au
0.595 0.971 0.338 Au
0.905 0.662 0.029 Au
0.905 0.029 0.662 Au
0.250 0.000 0.000 Cu

=====

2.
PBE Be2AlRePb, optimized geometry; E_form = 1.82 eV/atom; density = 6.99 g cm⁻³; SG = No. 123; uncorrected energy = -3.65 eV per atom
1.0
-1.082 -1.951 -3.754
-1.320 -4.539 2.740
-4.097 1.449 0.427
Pb Al Re Be
1 1 1 2
Direct
0.000 0.000 0.000 Pb
0.500 0.500 0.500 Al
0.000 0.500 0.000 Re
0.000 0.000 0.500 Be
0.500 0.000 0.000 Be

=====

3.
PBE MgGe6, optimized geometry; E_form = 0.24 eV/atom; density = 4.29 g cm⁻³; SG = No. 229; uncorrected energy = -3.95 eV per atom
1.0
-5.412 0.761 -2.792
2.602 -5.199 -1.965
-0.854 -0.306 6.070
Ge Mg
6 1
Direct
0.250 0.500 0.750 Ge
0.500 0.250 0.750 Ge
0.750 0.250 0.500 Ge
0.250 0.750 0.500 Ge
0.750 0.500 0.250 Ge
0.500 0.750 0.250 Ge
0.000 0.000 0.000 Mg